DFT (GGA-PBE) results for a geometry-optimized AlSi4Ag structure.

Cell and atoms, written as CIF:
```
data_AlSi4Ag
_chemical_formula_sum 'Al4 Si16 Ag4'
_cell_length_a 7.316
_cell_length_b 7.316
_cell_length_c 7.316
_cell_angle_alpha 90.00
_cell_angle_beta 90.00
_cell_angle_gamma 90.00
_space_group_name_H-M_alt 'F -4 3 m'
_space_group_IT_number 216
_space_group_name_Hall 'F -4 2 3'
loop_
_atom_site_label
_atom_site_type_symbol
_atom_site_fract_x
_atom_site_fract_y
_atom_site_fract_z
Al1 Al 0.000 0.000 0.000
Si1 Si 0.126 0.126 0.626
Ag1 Ag 0.250 0.250 0.250
```

Computed properties:
Its uncorrected formation energy is 0.47 eV/atom. Its final energy is -101.8 eV for the cell shown. The density of states at the Fermi level is 3.2 states/eV/f.u.